MnIn3Rh4: relaxed, PBE-GGA.

Results
Density of states at the Fermi level in states/eV/atom: 0.1842
Formation energy in eV/atom: -0.39
Total moment in μB per atom: 0.574
Electronic total energy in eV for the cell shown: -99.8
SG: P4/mmm

a = 4.513 Å, b = 6.389 Å, c = 9.026 Å
α = 90.00°, β = 90.00°, γ = 90.00°
Atoms (fractional coordinates):
Mn1 0.000 0.500 0.000
Mn2 0.000 0.500 0.500
Rh1 0.500 0.746 0.000
Rh2 0.500 0.746 0.500
Rh3 0.500 0.254 0.000
Rh4 0.500 0.254 0.500
Rh5 0.000 0.746 0.750
Rh6 0.000 0.746 0.250
Rh7 0.000 0.254 0.250
Rh8 0.000 0.254 0.750
In1 0.000 0.000 0.000
In2 0.000 0.000 0.500
In3 0.500 0.000 0.750
In4 0.500 0.000 0.250
In5 0.500 0.500 0.750
In6 0.500 0.500 0.250